Record 1
Material: Tb3Pt
Method: DFT, meta-GGA SCAN
State: PBEsol geometry

Results
Crystal system = orthorhombic
SG = Pnma
E_form = -859 meV/atom
Electronic total energy = -53.48 eV/atom

The structure in POSCAR format:
```
Tb3Pt
1.0
6.953 0.000 0.000
0.000 9.464 0.000
0.000 0.000 6.400
Tb Pt
12 4
direct
0.024 0.250 0.130 Tb
0.181 0.059 0.677 Tb
0.181 0.441 0.677 Tb
0.319 0.559 0.177 Tb
0.319 0.941 0.177 Tb
0.476 0.750 0.630 Tb
0.524 0.250 0.370 Tb
0.681 0.059 0.823 Tb
0.681 0.441 0.823 Tb
0.819 0.559 0.323 Tb
0.819 0.941 0.323 Tb
0.976 0.750 0.870 Tb
0.112 0.750 0.446 Pt
0.388 0.250 0.946 Pt
0.612 0.750 0.054 Pt
0.888 0.250 0.554 Pt
```

Record 2
Material: TcPt3
Method: DFT, meta-GGA SCAN
State: PBEsol geometry

Results
Crystal system = cubic
SG = Pm-3m
E_form = 8 meV/atom
Electronic total energy = -61.40 eV/atom

The structure in POSCAR format:
```
TcPt3
1.0
3.884 0.000 0.000
0.000 3.884 0.000
0.000 0.000 3.884
Tc Pt
1 3
direct
0.000 0.000 0.000 Tc
0.000 0.500 0.500 Pt
0.500 0.000 0.500 Pt
0.500 0.500 0.000 Pt
```

Record 3
Material: TcPt3
Method: DFT, meta-GGA SCAN
State: PBEsol geometry

Results
Crystal system = hexagonal
SG = P-6m2
E_form = -75 meV/atom
Electronic total energy = -61.48 eV/atom

The structure in POSCAR format:
```
TcPt3
1.0
2.759 0.000 0.000
-1.379 2.389 0.000
0.000 0.000 8.946
Tc Pt
1 3
direct
0.000 0.000 0.000 Tc
0.000 0.000 0.500 Pt
0.333 0.667 0.238 Pt
0.333 0.667 0.762 Pt
```

Record 4
Material: Tc2Pt
Method: DFT, meta-GGA SCAN
State: PBEsol geometry

Results
E above lowest polymorph = 0.00 eV/f.u.
Crystal system = orthorhombic
SG = Cmcm
E_form = -252 meV/atom
Electronic total energy = -47.02 eV/atom

The structure in POSCAR format:
```
Tc2Pt
1.0
1.360 -7.146 0.000
1.360 7.146 0.000
0.000 0.000 4.360
Tc Pt
4 2
direct
0.056 0.944 0.750 Tc
0.279 0.721 0.250 Tc
0.721 0.279 0.750 Tc
0.944 0.056 0.250 Tc
0.389 0.611 0.750 Pt
0.611 0.389 0.250 Pt
```

Record 5
Material: Tc2Pt
Method: DFT, meta-GGA SCAN
State: PBEsol geometry

Results
E above lowest polymorph = 1.61 eV/f.u.
Crystal system = cubic
SG = Fd-3m
E_form = 286 meV/atom
Electronic total energy = -46.49 eV/atom

The structure in POSCAR format:
```
Tc2Pt
1.0
0.000 3.546 3.546
3.546 0.000 3.546
3.546 3.546 0.000
Tc Pt
4 2
direct
0.000 0.000 0.000 Tc
0.000 0.000 0.500 Tc
0.000 0.500 0.000 Tc
0.500 0.000 0.000 Tc
0.375 0.375 0.375 Pt
0.625 0.625 0.625 Pt
```

Record 6
Material: TcPt3
Method: DFT, meta-GGA SCAN
State: PBEsol geometry

Results
Crystal system = tetragonal
SG = P4/mmm
E_form = -201 meV/atom
Electronic total energy = -61.61 eV/atom

The structure in POSCAR format:
```
TcPt3
1.0
2.718 0.000 0.000
0.000 2.718 0.000
0.000 0.000 7.902
Tc Pt
1 3
direct
0.000 0.000 0.000 Tc
0.000 0.000 0.500 Pt
0.500 0.500 0.238 Pt
0.500 0.500 0.762 Pt
```